K4SmPu3O12: optimized geometry, PBE-GGA.

```
K4SmPu3O12
1.0
7.464 0.000 0.000
-2.488 7.037 0.000
-2.488 -3.519 6.094
O Sm Pu K
12 1 3 4
Direct
0.750 0.250 0.500
0.500 0.750 0.250
0.250 0.750 0.500
0.500 0.250 0.750
0.732 0.732 0.000
0.268 0.268 0.000
0.250 0.500 0.750
0.750 0.500 0.250
0.000 0.268 0.268
0.000 0.732 0.732
0.268 0.000 0.268
0.732 0.000 0.732
0.000 0.000 0.000
0.500 0.000 0.500
0.500 0.500 0.000
0.000 0.500 0.500
0.000 0.500 0.000
0.500 0.500 0.500
0.000 0.000 0.500
0.500 0.000 0.000
```

Summary:
Raw formation energy ... -2.569 eV/atom